Record 1
VASP calculation (PBE) on an optimized crystal structure of Tb2CdCo.

Lattice parameters (Å, degrees): 8.3624 8.3624 8.3624 26.26 26.26 26.26
Fractional positions:
Tb: 0.2299 0.2299 0.2299
Tb: 0.7701 0.7701 0.7701
Cd: 0.0000 0.0000 0.0000
Co: 0.5000 0.5000 0.5000

Results
**Excess energy over the best structure of this formula in the dataset**: 108 meV/atom
**Space group**: R-3m, No. 166

---

Record 2
VASP calculation (PBE) on an optimized crystal structure of Tl2GeSe3.

Lattice parameters (Å, degrees): 7.0506 7.2135 8.9046 89.83 68.48 66.24
Fractional positions:
Tl: 0.1280 0.0441 0.1692
Tl: 0.2687 0.3196 0.6037
Tl: 0.7313 0.6804 0.3963
Tl: 0.8720 0.9559 0.8308
Ge: 0.4298 0.4502 0.1851
Ge: 0.5702 0.5498 0.8149
Se: 0.2245 0.5382 0.0065
Se: 0.2370 0.7099 0.4160
Se: 0.4843 0.8885 0.7649
Se: 0.5157 0.1115 0.2351
Se: 0.7630 0.2901 0.5840
Se: 0.7755 0.4618 0.9935

Results
**Excess energy over the best structure of this formula in the dataset**: 0 meV/atom
**Space group**: P-1, No. 2

---

Record 3
VASP calculation (PBE) on an optimized crystal structure of LaNdGaBr.

Lattice parameters (Å, degrees): 5.3686 5.3686 5.3686 60.00 60.00 60.00
Fractional positions:
La: 0.0000 0.0000 0.0000
Nd: 0.5000 0.5000 0.5000
Ga: 0.2500 0.2500 0.2500
Br: 0.7500 0.7500 0.7500

Results
**Space group**: F-43m, No. 216

---

Record 4
VASP calculation (PBE) on an optimized crystal structure of LiLa3Cu.

Lattice parameters (Å, degrees): 5.6837 5.6837 5.6837 90.00 90.00 90.00
Fractional positions:
Li: 0.0000 0.0000 0.0000
La: 0.0000 0.5000 0.5000
La: 0.5000 0.0000 0.5000
La: 0.5000 0.5000 0.0000
Cu: 0.5000 0.5000 0.5000

Results
**Excess energy over the best structure of this formula in the dataset**: 0 meV/atom
**Space group**: Pm-3m, No. 221

---

Record 5
VASP calculation (PBE) on an optimized crystal structure of Y2Sb2I.

Lattice parameters (Å, degrees): 6.5727 6.5727 6.5727 128.96 128.96 75.08
Fractional positions:
Y: 0.2500 0.7500 0.5000
Y: 0.7500 0.2500 0.5000
Sb: 0.1386 0.1386 0.0000
Sb: 0.8614 0.8614 0.0000
I: 0.5000 0.5000 0.0000

Results
**Excess energy over the best structure of this formula in the dataset**: 174 meV/atom
**Space group**: I4/mmm, No. 139

---

Record 6
VASP calculation (PBE) on an optimized crystal structure of Sc6CuNi5.

Lattice parameters (Å, degrees): 7.1166 7.1166 6.3634 90.00 90.00 143.06
Fractional positions:
Sc: 0.0000 0.0000 0.2461
Sc: 0.0000 0.0000 0.7539
Sc: 0.3318 0.6682 0.2482
Sc: 0.3318 0.6682 0.7518
Sc: 0.6682 0.3318 0.2482
Sc: 0.6682 0.3318 0.7518
Cu: 0.5000 0.5000 0.5000
Ni: 0.1666 0.8334 0.0000
Ni: 0.1667 0.8333 0.5000
Ni: 0.5000 0.5000 0.0000
Ni: 0.8334 0.1666 0.0000
Ni: 0.8333 0.1667 0.5000

Results
**Space group**: Cmmm, No. 65

---

Record 7
VASP calculation (PBE) on an optimized crystal structure of Pr3Hg4Pt4.

Lattice parameters (Å, degrees): 8.9531 8.9531 8.9531 153.23 126.42 60.88
Fractional positions:
Pr: 0.0000 0.0000 0.0000
Pr: 0.3786 0.8786 0.5000
Pr: 0.6214 0.1214 0.5000
Hg: 0.0287 0.3330 0.6957
Hg: 0.3627 0.6670 0.6957
Hg: 0.6373 0.3330 0.3043
Hg: 0.9713 0.6670 0.3043
Pt: 0.2314 0.2314 0.0000
Pt: 0.3155 0.5000 0.8155
Pt: 0.6845 0.5000 0.1845
Pt: 0.7686 0.7686 0.0000

Results
**Space group**: Immm, No. 71

---

Record 8
VASP calculation (PBE) on an optimized crystal structure of CeDy2PuS4.

Lattice parameters (Å, degrees): 6.8166 3.9265 6.8927 90.00 109.18 90.00
Fractional positions:
Ce: 0.0000 0.0000 0.0000
Dy: 0.0000 0.5000 0.5000
Dy: 0.5000 0.0000 0.5000
Pu: 0.5000 0.5000 0.0000
S: 0.2503 0.0000 0.7433
S: 0.2558 0.5000 0.2593
S: 0.7442 0.5000 0.7407
S: 0.7497 0.0000 0.2567

Results
**Space group**: P2/m, No. 10

---

Record 9
VASP calculation (PBE) on an optimized crystal structure of VPb3C.

Lattice parameters (Å, degrees): 5.2683 5.2683 5.2683 90.00 90.00 90.00
Fractional positions:
V: 0.0000 0.0000 0.0000
Pb: 0.0000 0.0000 0.5000
Pb: 0.0000 0.5000 0.0000
Pb: 0.5000 0.0000 0.0000
C: 0.5000 0.5000 0.5000

Results
**Excess energy over the best structure of this formula in the dataset**: 272 meV/atom
**Space group**: Pm-3m, No. 221

---

Record 10
VASP calculation (PBE) on an optimized crystal structure of BaCeSe2.

Lattice parameters (Å, degrees): 7.8829 7.8829 7.8829 32.40 32.40 32.40
Fractional positions:
Ba: 0.0000 0.0000 0.0000
Ce: 0.5000 0.5000 0.5000
Se: 0.2407 0.2407 0.2407
Se: 0.7593 0.7593 0.7593

Results
**Excess energy over the best structure of this formula in the dataset**: 12 meV/atom
**Space group**: R-3m, No. 166

---

Record 11
VASP calculation (PBE) on an optimized crystal structure of LiNdEuAg.

Lattice parameters (Å, degrees): 5.3821 5.3821 5.3821 60.00 60.00 60.00
Fractional positions:
Li: 0.0000 0.0000 0.0000
Nd: 0.7500 0.7500 0.7500
Eu: 0.2500 0.2500 0.2500
Ag: 0.5000 0.5000 0.5000

Results
**Space group**: F-43m, No. 216

---

Record 12
VASP calculation (PBE) on an optimized crystal structure of Pr2YGa2Ag2.

Lattice parameters (Å, degrees): 9.6671 9.6671 9.6671 27.76 27.76 27.76
Fractional positions:
Pr: 0.1248 0.1248 0.1248
Pr: 0.8752 0.8752 0.8752
Y: 0.0000 0.0000 0.0000
Ga: 0.2651 0.2651 0.2651
Ga: 0.7349 0.7349 0.7349
Ag: 0.3914 0.3914 0.3914
Ag: 0.6086 0.6086 0.6086

Results
**Space group**: R-3m, No. 166

---

no.,calculated total energy (eV/f.u.)
1,-17.81
2,-22.09
3,-17.33
4,-19.61
5,-26.51
6,-76.55
7,-46.86
8,-61.75
9,-21.45
10,-22.29
11,-20.12
12,-30.44